A geometry-optimized CsHf2RuSe structure, computed with PBE.

Raw formation energy in eV per atom: 0.44
Crystal system: tetragonal
N(E_F) in states/eV/cell: 4.33
Final energy in eV/cell: -31.31

abc: 4.9687 4.9687 5.9317
angles: 90.00 90.00 90.00
Space group P4/mmm (No. 123)
Inequivalent atoms, fractional coordinates:
Cs1 0.0000 0.0000 0.0000 x1
Hf1 0.0000 0.5000 0.5000 x2
Ru1 0.5000 0.5000 0.5000 x1
Se1 0.5000 0.5000 0.0000 x1

A geometry-optimized CsHf2ZrRu structure, computed with PBE.

Formation enthalpy at 0 K in meV/atom: 629.1
Crystal system: tetragonal
N(E_F) in states/eV/cell: 3.92
Final energy in eV/cell: -35.44

abc: 5.1562 5.1562 5.2447
angles: 90.00 90.00 90.00
Space group P4/mmm (No. 123)
Inequivalent atoms, fractional coordinates:
Cs1 0.0000 0.0000 0.0000 x1
Hf1 0.0000 0.5000 0.5000 x2
Zr1 0.5000 0.5000 0.0000 x1
Ru1 0.5000 0.5000 0.5000 x1

A geometry-optimized Cs2Hf2S5 structure, computed with PBE.

Raw formation energy in eV per atom: -1.48
Crystal system: monoclinic
N(E_F) in states/eV/cell: 0.00
Final energy in eV/cell: -111.13

abc: 14.2319 4.9872 8.7974
angles: 90.00 101.13 90.00
Space group C2/m (No. 12)
Inequivalent atoms, fractional coordinates:
Cs1 0.0897 0.0000 0.3353 x4
Hf1 0.1521 0.5000 0.9067 x4
S1 0.0000 0.5000 0.0000 x2
S2 0.1263 0.5000 0.6410 x4
S3 0.1718 0.0000 0.9743 x4

A geometry-optimized CsHf6S12 structure, computed with PBE.

Raw formation energy in eV per atom: -1.27
Crystal system: trigonal
N(E_F) in states/eV/cell: 21.20
Final energy in eV/cell: -402.92

abc: 12.4234 12.4234 9.1675
angles: 90.00 90.00 120.00
Space group R-3m (No. 166, hexagonal axes)
Inequivalent atoms, fractional coordinates:
Cs1 0.0000 0.0000 0.0000 x3
Hf1 0.0741 0.5371 0.2797 x18
S1 0.0000 0.3758 0.5000 x18
S2 0.0903 0.1806 0.3511 x18

A geometry-optimized CsHf2S structure, computed with PBE.

Raw formation energy in eV per atom: 0.47
Crystal system: tetragonal
N(E_F) in states/eV/cell: 16.66
Final energy in eV/cell: -91.99

abc: 5.3783 5.3783 18.2130
angles: 90.00 90.00 90.00
Space group I-42d (No. 122)
Inequivalent atoms, fractional coordinates:
Cs1 0.0000 0.0000 0.0000 x4
Hf1 0.0354 0.2500 0.6250 x8
S1 0.0000 0.0000 0.5000 x4

A geometry-optimized Cs2HfS structure, computed with PBE.

Raw formation energy in eV per atom: 0.83
Crystal system: cubic
N(E_F) in states/eV/cell: 35.90
Final energy in eV/cell: -49.81

abc: 8.7599 8.7599 8.7599
angles: 90.00 90.00 90.00
Space group Fm-3m (No. 225)
Inequivalent atoms, fractional coordinates:
Cs1 0.2500 0.2500 0.2500 x8
Hf1 0.0000 0.0000 0.0000 x4
S1 0.0000 0.0000 0.5000 x4

A geometry-optimized Cs3HfS structure, computed with PBE.

Raw formation energy in eV per atom: 0.51
Crystal system: cubic
E above lowest polymorph in meV/atom: 0
N(E_F) in states/eV/cell: 7.25
Final energy in eV/cell: -14.07

abc: 6.7708 6.7708 6.7708
angles: 90.00 90.00 90.00
Space group Pm-3m (No. 221)
Inequivalent atoms, fractional coordinates:
Cs1 0.0000 0.0000 0.5000 x3
Hf1 0.5000 0.5000 0.5000 x1
S1 0.0000 0.0000 0.0000 x1

A geometry-optimized CsHfS2 structure, computed with PBE.

Raw formation energy in eV per atom: -1.18
Crystal system: tetragonal
N(E_F) in states/eV/cell: 3.37
Final energy in eV/cell: -95.17

abc: 7.6882 7.6882 9.1194
angles: 90.00 90.00 90.00
Space group I-42d (No. 122)
Inequivalent atoms, fractional coordinates:
Cs1 0.0000 0.0000 0.0000 x4
Hf1 0.0000 0.0000 0.5000 x4
S1 0.1279 0.7500 0.6250 x8